VASP calculation (PBE-GGA) on a geometry-optimized NaTl3C2O6 structure.

The structure belongs to space group P-3m1 (No. 164); the cell edges are 5.6040, 5.6040 and 7.3466 Å and the angles 90.00°, 90.00° and 120.00°. The distinct sites, in fractional coordinates, are Na at (0.0000, 0.0000, 0.0000), Tl at (0.0000, 0.0000, 0.5000), Tl at (0.3333, 0.6667, 0.2754), C at (0.3333, 0.6667, 0.7978) and O at (0.1989, 0.3979, 0.7974).

The value obtained for the mass density is 6.28 g cm⁻³. The formation energy (no corrections) comes out at -1.2632 eV per atom. For the density of states at the Fermi level, the calculation gives 0.00 states/eV per atom.